First-principles (meta-GGA SCAN) data for MoOsCl2 at its PBEsol-relaxed geometry, as listed in Alexandria.

Lattice parameters (Å, degrees): 2.963 4.223 4.884 90.00 93.44 90.00
Space group P2/m (No. 10)
Symmetry-distinct sites (fractional):
Mo: 0.000 0.000 0.000 x1
Os: 0.500 0.000 0.500 x1
Cl: 0.245 0.500 0.250 x2

Summary:
ΔE_f (raw) in eV/atom: 0.969
Energy above the most stable polymorph in this dataset in meV/atom: 78
E_tot in eV/atom: -29.712